Compound: Cs3HoAs2
Source: OQMD via LeMat-Bulk
Functional: GGA-PBE
Structure: optimized geometry

Cell: 8.3026 8.3026 9.0238 Å, 93.73 93.73 91.59°
With the nearest neighbours (Å) after each atom.
Fractional coordinates of all 12 atoms:
Cs 0.1822 0.8178 0.7500  4 As 3.73-3.87
Cs 0.2533 0.3310 0.0163  2 As 3.67-3.72
Cs 0.3310 0.2533 0.5163  2 As 3.67-3.72
Cs 0.6690 0.7467 0.4837  2 As 3.67-3.72
Cs 0.7467 0.6690 0.9837  2 As 3.67-3.72
Cs 0.8178 0.1822 0.2500  4 As 3.73-3.87
Ho 0.2035 0.7965 0.2500  2 As 2.67
Ho 0.7965 0.2035 0.7500  2 As 2.67
As 0.0616 0.5702 0.3987  1 As 2.49, 1 Ho 2.67
As 0.4298 0.9384 0.1013  1 As 2.49, 1 Ho 2.67
As 0.5702 0.0616 0.8987  1 As 2.49, 1 Ho 2.67
As 0.9384 0.4298 0.6013  1 As 2.49, 1 Ho 2.67

Values from the calculation:
- total magnetization (μB per atom) = 0.000
- DFT total energy (eV/atom) = -2.994
- space-group type = C2/c (15)
- V (Å³ per atom) = 51.591


Compound: CsHoAsO
Source: OQMD via LeMat-Bulk
Functional: GGA-PBE
Structure: optimized geometry

Cell: 3.5127 7.8869 8.8340 Å, 90.00 90.00 90.00°
With the nearest neighbours (Å) after each atom.
Fractional coordinates of all 8 atoms:
Cs 0.0000 0.1256 0.0000  2 O 2.98-3.02
Cs 0.0000 0.8744 0.5000  2 O 2.98-3.02
Ho 0.5000 0.3367 0.3856  2 O 2.10
Ho 0.5000 0.6633 0.8856  2 O 2.10
As 0.5000 0.3668 0.7042  2 Ho 2.83
As 0.5000 0.6332 0.2042  2 Ho 2.83
O 0.0000 0.2036 0.3343  2 Ho 2.10
O 0.0000 0.7964 0.8343  2 Ho 2.10

Values from the calculation:
- total magnetization (μB per atom) = 0.001
- DFT total energy (eV/atom) = -5.299
- space-group type = Pmc2_1 (26)
- V (Å³ per atom) = 30.593


Compound: CsHoAs2S7
Source: OQMD via LeMat-Bulk
Functional: GGA-PBE
Structure: optimized geometry

Cell: 6.9605 6.9605 6.9961 Å, 96.26 96.26 96.30°
With the nearest neighbours (Å) after each atom.
Fractional coordinates of all 11 atoms:
Cs 0.0000 0.0000 0.0000  8 S 3.68-4.02
Ho 0.4031 0.5969 0.5000  6 S 2.74-2.76
As 0.5596 0.0500 0.4067  4 S 2.16-2.30
As 0.9500 0.4404 0.5933  4 S 2.16-2.30
S 0.0215 0.5703 0.3389  1 As 2.16
S 0.2158 0.4607 0.7921  1 As 2.17
S 0.4297 0.9785 0.6611  1 As 2.16
S 0.4637 0.2813 0.2500  1 As 2.17
S 0.5393 0.7842 0.2079  1 As 2.17
S 0.7187 0.5363 0.7500  1 As 2.17
S 0.8904 0.1096 0.5000  2 As 2.30

Values from the calculation:
- total magnetization (μB per atom) = 0.000
- DFT total energy (eV/atom) = -4.666
- space-group type = C2 (5)
- V (Å³ per atom) = 30.215


Compound: CsHoAsSe3
Source: OQMD via LeMat-Bulk
Functional: GGA-PBE
Structure: optimized geometry

Cell: 8.1004 8.1004 11.6800 Å, 90.00 90.00 148.68°
With the nearest neighbours (Å) after each atom.
Fractional coordinates of all 12 atoms:
Cs 0.2285 0.7715 0.7500  2 Se 3.61, 2 As 3.71
Cs 0.7715 0.2285 0.2500  2 Se 3.61, 2 As 3.71
Ho 0.5000 0.5000 0.0000  6 Se 2.88-2.92
Ho 0.5000 0.5000 0.5000  6 Se 2.88-2.92
As 0.0794 0.9206 0.2500  4 Se 2.54-2.73
As 0.9206 0.0794 0.7500  4 Se 2.54-2.73
Se 0.1194 0.8806 0.0222  1 As 2.73, 2 Ho 2.88
Se 0.1194 0.8806 0.4778  1 As 2.73, 2 Ho 2.88
Se 0.4961 0.5039 0.2500  2 As 2.54
Se 0.5039 0.4961 0.7500  2 As 2.54
Se 0.8806 0.1194 0.5222  1 As 2.73, 2 Ho 2.88
Se 0.8806 0.1194 0.9778  1 As 2.73, 2 Ho 2.88

Values from the calculation:
- total magnetization (μB per atom) = 0.000
- DFT total energy (eV/atom) = -4.468
- space-group type = Cmcm (63)
- V (Å³ per atom) = 33.198


Compound: CsHoTe3As
Source: OQMD via LeMat-Bulk
Functional: GGA-PBE
Structure: optimized geometry

Cell: 8.5669 8.5669 12.5008 Å, 90.00 90.00 148.39°
With the nearest neighbours (Å) after each atom.
Fractional coordinates of all 12 atoms:
Cs 0.2415 0.7585 0.7500  2 As 3.79, 2 Te 3.93
Cs 0.7585 0.2415 0.2500  2 As 3.79, 2 Te 3.93
Ho 0.5000 0.5000 0.0000  6 Te 3.10-3.13
Ho 0.5000 0.5000 0.5000  6 Te 3.10-3.13
Te 0.1230 0.8770 0.0230  1 As 2.94, 2 Ho 3.10
Te 0.1230 0.8770 0.4770  1 As 2.94, 2 Ho 3.10
Te 0.4916 0.5084 0.2500  2 As 2.73
Te 0.5084 0.4916 0.7500  2 As 2.73
Te 0.8770 0.1230 0.5230  1 As 2.94, 2 Ho 3.10
Te 0.8770 0.1230 0.9770  1 As 2.94, 2 Ho 3.10
As 0.0773 0.9227 0.2500  4 Te 2.73-2.94
As 0.9227 0.0773 0.7500  4 Te 2.73-2.94

Values from the calculation:
- total magnetization (μB per atom) = 0.000
- DFT total energy (eV/atom) = -4.040
- space-group type = Cmcm (63)
- V (Å³ per atom) = 40.073


Compound: Cs12NbIn6As9
Source: OQMD via LeMat-Bulk
Functional: GGA-PBE
Structure: optimized geometry

Cell: 9.6564 9.7066 25.5047 Å, 86.90 87.13 63.60°
With the nearest neighbours (Å) after each atom.
Fractional coordinates of all 56 atoms:
Cs 0.0000 0.0000 0.0000  6 As 3.59-3.91, 2 Cs 3.88
Cs 0.0000 0.0000 0.5000  6 As 3.59-4.00, 2 Nb 3.78, 2 In 3.79, 2 Cs 4.00
Cs 0.0596 0.4481 0.3075  5 As 3.82-3.94, 1 Nb 3.91, 2 In 3.98-4.13, 4 Cs 4.01-4.25
Cs 0.1487 0.1091 0.7413  4 As 3.68-3.96, 2 In 3.76-3.89, 2 Cs 4.01-4.08
Cs 0.1765 0.7361 0.1325  5 As 3.70-4.05, 1 In 3.81, 3 Cs 4.02-4.09
Cs 0.2021 0.5389 0.5340  2 As 3.59-3.60
Cs 0.2436 0.1944 0.9350  3 In 3.66-3.92, 5 As 3.70-4.01, 3 Cs 3.71-3.91
Cs 0.2881 0.6332 0.7489  4 As 3.65-3.83, 3 In 3.76-3.89, 1 Cs 4.00
Cs 0.3347 0.0580 0.5677  3 As 3.52-3.87, 1 In 3.94, 1 Nb 3.94
Cs 0.3802 0.2897 0.1795  4 As 3.68-3.85, 2 In 3.96-4.12, 1 Cs 4.02
Cs 0.4626 0.7359 0.9837  5 As 3.62-3.98, 1 In 3.70, 2 Cs 3.91-4.06
Cs 0.4673 0.3826 0.3838  3 As 3.51-3.92, 2 In 3.74-3.83
Cs 0.4737 0.1864 0.8135  3 In 3.64-3.92, 4 As 3.68-4.00, 1 Cs 3.71
Cs 0.5263 0.8136 0.1865  3 In 3.64-3.92, 4 As 3.68-4.00, 1 Cs 3.71
Cs 0.5327 0.6174 0.6162  3 As 3.51-3.92, 2 In 3.74-3.83
Cs 0.5374 0.2641 0.0163  5 As 3.62-3.98, 1 In 3.70, 2 Cs 3.91-4.06
Cs 0.6198 0.7103 0.8205  4 As 3.68-3.85, 2 In 3.96-4.12, 1 Cs 4.02
Cs 0.6653 0.9420 0.4323  3 As 3.52-3.87, 1 In 3.94, 1 Nb 3.94
Cs 0.7119 0.3668 0.2511  4 As 3.65-3.83, 3 In 3.76-3.89, 1 Cs 4.00
Cs 0.7564 0.8056 0.0650  3 In 3.66-3.92, 5 As 3.70-4.01, 3 Cs 3.71-3.91
Cs 0.7979 0.4611 0.4660  2 As 3.59-3.60
Cs 0.8235 0.2639 0.8675  5 As 3.70-4.05, 1 In 3.81, 3 Cs 4.02-4.09
Cs 0.8513 0.8909 0.2587  4 As 3.68-3.96, 2 In 3.76-3.89, 2 Cs 4.01-4.08
Cs 0.9404 0.5519 0.6925  5 As 3.82-3.94, 1 Nb 3.91, 2 In 3.98-4.13, 4 Cs 4.01-4.25
Nb 0.2417 0.0576 0.3879  4 As 2.41-2.56
Nb 0.7583 0.9424 0.6121  4 As 2.41-2.56
In 0.0541 0.1579 0.1588  3 As 2.70-2.81
In 0.0794 0.3807 0.0592  4 As 2.75-2.80
In 0.1275 0.7708 0.3761  3 As 2.89-2.91
In 0.1752 0.0032 0.2666  3 As 2.81-2.85, 1 In 3.08
In 0.2985 0.5593 0.8953  3 As 2.88-3.00
In 0.4740 0.2672 0.6657  3 As 2.84-2.94
In 0.5260 0.7328 0.3343  3 As 2.84-2.94
In 0.7015 0.4407 0.1047  3 As 2.88-3.00
In 0.8248 0.9968 0.7334  3 As 2.81-2.85, 1 In 3.08
In 0.8725 0.2292 0.6239  3 As 2.89-2.91
In 0.9206 0.6193 0.9408  4 As 2.75-2.80
In 0.9459 0.8421 0.8412  3 As 2.70-2.81
As 0.0220 0.9000 0.6439  1 Nb 2.56, 1 In 2.81
As 0.0496 0.5224 0.8409  3 In 2.80-3.00
As 0.1586 0.5872 0.0037  3 In 2.75-2.99
As 0.1972 0.8790 0.8645  2 In 2.70-2.88
As 0.2092 0.2568 0.4464  1 Nb 2.41
As 0.2855 0.0799 0.0824  2 In 2.75-2.76
As 0.2991 0.6785 0.2766  3 In 2.83-2.94
As 0.3668 0.7924 0.4335  1 Nb 2.55, 1 In 2.84
As 0.4139 0.0565 0.3091  1 Nb 2.54
As 0.5861 0.9435 0.6909  1 Nb 2.54
As 0.6332 0.2076 0.5665  1 Nb 2.55, 1 In 2.84
As 0.7009 0.3215 0.7234  3 In 2.83-2.94
As 0.7145 0.9201 0.9176  2 In 2.75-2.76
As 0.7908 0.7432 0.5536  1 Nb 2.41
As 0.8028 0.1210 0.1355  2 In 2.70-2.88
As 0.8414 0.4128 0.9963  3 In 2.75-2.99
As 0.9504 0.4776 0.1591  3 In 2.80-3.00
As 0.9780 0.1000 0.3561  1 Nb 2.56, 1 In 2.81

Values from the calculation:
- total magnetization (μB per atom) = 0.001
- DFT total energy (eV/atom) = -3.263
- space-group type = P-1 (2)
- V (Å³ per atom) = 38.164


Compound: Cs13Nb2In6As10
Source: OQMD via LeMat-Bulk
Functional: GGA-PBE
Structure: optimized geometry

Cell: 9.7812 9.8149 14.1796 Å, 81.07 83.71 65.33°
With the nearest neighbours (Å) after each atom.
Fractional coordinates of all 31 atoms:
Cs 0.0000 0.0000 0.0000  4 As 3.60-3.79, 2 In 3.78, 2 Nb 3.81, 4 Cs 3.94-4.01
Cs 0.0864 0.3486 0.8837  3 As 3.50-3.85, 2 In 3.79-3.81
Cs 0.1840 0.2430 0.5904  4 As 3.67-4.08, 1 Nb 3.99, 1 In 4.07
Cs 0.2758 0.5842 0.4273  3 In 3.76-4.10, 4 As 3.90-4.02, 3 Cs 4.11-4.21
Cs 0.3506 0.3982 0.1682  4 As 3.71-4.01, 1 Nb 3.84, 1 In 3.87, 1 Cs 4.03
Cs 0.3649 0.9978 0.3573  4 As 3.61-3.94, 2 In 3.81-3.89
Cs 0.4225 0.8103 0.0869  2 As 3.59-3.66, 1 Cs 4.01
Cs 0.5775 0.1897 0.9131  2 As 3.59-3.66, 1 Cs 4.01
Cs 0.6351 0.0022 0.6427  4 As 3.61-3.94, 2 In 3.81-3.89
Cs 0.6494 0.6018 0.8318  4 As 3.71-4.01, 1 Nb 3.84, 1 In 3.87, 1 Cs 4.03
Cs 0.7242 0.4158 0.5727  3 In 3.76-4.10, 4 As 3.90-4.02, 3 Cs 4.11-4.21
Cs 0.8160 0.7570 0.4096  4 As 3.67-4.08, 1 Nb 3.99, 1 In 4.07
Cs 0.9136 0.6514 0.1163  3 As 3.50-3.85, 2 In 3.79-3.81
Nb 0.2429 0.8743 0.7746  4 As 2.41-2.57
Nb 0.7571 0.1257 0.2254  4 As 2.41-2.57
In 0.0562 0.8821 0.5888  3 As 2.82-2.86, 1 In 3.10
In 0.0592 0.2256 0.1727  3 As 2.88-2.91
In 0.3051 0.5276 0.7070  3 As 2.88-2.99
In 0.6949 0.4724 0.2930  3 As 2.88-2.99
In 0.9408 0.7744 0.8273  3 As 2.88-2.91
In 0.9438 0.1179 0.4112  3 As 2.82-2.86, 1 In 3.10
As 0.0137 0.3730 0.3433  3 In 2.86-2.99
As 0.0333 0.9494 0.2547  1 Nb 2.57, 1 In 2.82
As 0.2465 0.6451 0.8882  1 Nb 2.54
As 0.3691 0.7829 0.6162  1 Nb 2.54
As 0.3715 0.9974 0.8412  1 Nb 2.41
As 0.6285 0.0026 0.1588  1 Nb 2.41
As 0.6309 0.2171 0.3838  1 Nb 2.54
As 0.7535 0.3549 0.1118  1 Nb 2.54
As 0.9667 0.0506 0.7453  1 Nb 2.57, 1 In 2.82
As 0.9863 0.6270 0.6567  3 In 2.86-2.99

Values from the calculation:
- total magnetization (μB per atom) = 0.033
- DFT total energy (eV/atom) = -3.497
- space-group type = P-1 (2)
- V (Å³ per atom) = 39.372


Compound: Cs3As2Ir
Source: OQMD via LeMat-Bulk
Functional: GGA-PBE
Structure: optimized geometry

Cell: 9.7096 9.7096 9.7096 Å, 127.31 70.61 136.54°
With the nearest neighbours (Å) after each atom.
Fractional coordinates of all 12 atoms:
Cs 0.1818 0.7006 0.8824  2 As 3.54-3.95, 2 Ir 3.81
Cs 0.2500 0.2500 0.0000  2 Cs 3.59, 4 As 3.65
Cs 0.3182 0.2006 0.5188  2 As 3.54-3.95, 2 Ir 3.81
Cs 0.6818 0.7994 0.4812  2 As 3.54-3.95, 2 Ir 3.81
Cs 0.7500 0.7500 0.0000  2 Cs 3.59, 4 As 3.65
Cs 0.8182 0.2994 0.1176  2 As 3.54-3.95, 2 Ir 3.81
As 0.0662 0.3485 0.4148  2 Ir 2.46
As 0.4338 0.8485 0.2823  2 Ir 2.46
As 0.5662 0.1515 0.7177  2 Ir 2.46
As 0.9338 0.6515 0.5852  2 Ir 2.46
Ir 0.2500 0.7500 0.5000  4 As 2.46
Ir 0.7500 0.2500 0.5000  4 As 2.46

Values from the calculation:
- total magnetization (μB per atom) = 0.019
- DFT total energy (eV/atom) = -3.670
- space-group type = Ibam (72)
- V (Å³ per atom) = 40.914


Compound: CsAs2Ir2
Source: OQMD via LeMat-Bulk
Functional: GGA-PBE
Structure: optimized geometry

Cell: 4.0680 4.0680 14.8656 Å, 90.00 90.00 90.00°
With the nearest neighbours (Å) after each atom.
Fractional coordinates of all 10 atoms:
Cs 0.0000 0.0000 0.0000  8 As 3.70, 4 Cs 4.07
Cs 0.5000 0.5000 0.5000  8 As 3.70, 4 Cs 4.07
As 0.0000 0.0000 0.3438  4 Ir 2.47
As 0.0000 0.0000 0.6562  4 Ir 2.47
As 0.5000 0.5000 0.1562  4 Ir 2.47
As 0.5000 0.5000 0.8438  4 Ir 2.47
Ir 0.0000 0.5000 0.2500  4 As 2.47
Ir 0.0000 0.5000 0.7500  4 As 2.47
Ir 0.5000 0.0000 0.2500  4 As 2.47
Ir 0.5000 0.0000 0.7500  4 As 2.47

Values from the calculation:
- total magnetization (μB per atom) = 0.001
- DFT total energy (eV/atom) = -6.043
- space-group type = I4/mmm (139)
- V (Å³ per atom) = 24.601


Compound: CsAs5Ir3
Source: OQMD via LeMat-Bulk
Functional: GGA-PBE
Structure: optimized geometry

Cell: 5.6306 5.6306 8.1400 Å, 90.00 90.00 120.00°
With the nearest neighbours (Å) after each atom.
Fractional coordinates of all 9 atoms:
Cs 0.0000 0.0000 0.0000  14 As 3.90-4.07
As 0.0000 0.0000 0.5000  6 Ir 2.82
As 0.3333 0.6667 0.2640  3 Ir 2.52
As 0.3333 0.6667 0.7360  3 Ir 2.52
As 0.6667 0.3333 0.2640  3 Ir 2.52
As 0.6667 0.3333 0.7360  3 Ir 2.52
Ir 0.0000 0.5000 0.5000  6 As 2.52-2.82, 4 Ir 2.82
Ir 0.5000 0.0000 0.5000  6 As 2.52-2.82, 4 Ir 2.82
Ir 0.5000 0.5000 0.5000  6 As 2.52-2.82, 4 Ir 2.82

Values from the calculation:
- total magnetization (μB per atom) = 0.071
- DFT total energy (eV/atom) = -5.747
- space-group type = P6/mmm (191)
- V (Å³ per atom) = 24.833


Compound: Cs2As2Ir2O7
Source: OQMD via LeMat-Bulk
Functional: GGA-PBE
Structure: optimized geometry

Cell: 7.4639 7.4639 7.4639 Å, 138.46 86.88 107.82°
With the nearest neighbours (Å) after each atom.
Fractional coordinates of all 13 atoms:
Cs 0.0000 0.0000 0.0000  8 O 3.10-3.34
Cs 0.7030 0.2030 0.5000  5 O 2.74-2.88
As 0.1868 0.4047 0.7821  3 O 1.82-1.83
As 0.6226 0.4047 0.2179  3 O 1.82-1.83
Ir 0.1288 0.7588 0.3701  4 O 1.83-2.04
Ir 0.3887 0.7588 0.6299  4 O 1.83-2.04
O 0.0095 0.0269 0.4673  1 As 1.83, 1 Ir 2.04
O 0.0095 0.5421 0.9825  1 As 1.83, 1 Ir 2.04
O 0.1749 0.5276 0.6473  1 As 1.82
O 0.3914 0.8914 0.5000  2 Ir 1.83
O 0.5596 0.0269 0.0175  1 As 1.83, 1 Ir 2.04
O 0.5596 0.5421 0.5327  1 As 1.83, 1 Ir 2.04
O 0.8803 0.5276 0.3527  1 As 1.82

Values from the calculation:
- total magnetization (μB per atom) = 0.000
- DFT total energy (eV/atom) = -5.674
- space-group type = Imm2 (44)
- V (Å³ per atom) = 19.407


Compound: CsAsPIr2
Source: OQMD via LeMat-Bulk
Functional: GGA-PBE
Structure: optimized geometry

Cell: 4.0164 4.0164 14.6995 Å, 90.00 90.00 90.00°
With the nearest neighbours (Å) after each atom.
Fractional coordinates of all 10 atoms:
Cs 0.0000 0.0000 0.0000  4 P 3.67, 4 As 3.68, 4 Cs 4.02, 4 Ir 4.07
Cs 0.5000 0.5000 0.5000  4 P 3.67, 4 As 3.68, 4 Cs 4.02, 4 Ir 4.07
As 0.0000 0.0000 0.3403  4 Ir 2.48
As 0.5000 0.5000 0.8403  4 Ir 2.48
P 0.0000 0.0000 0.6584  4 Ir 2.35
P 0.5000 0.5000 0.1584  4 Ir 2.35
Ir 0.0000 0.5000 0.2411  2 P 2.35, 2 As 2.48
Ir 0.0000 0.5000 0.7411  2 P 2.35, 2 As 2.48
Ir 0.5000 0.0000 0.2411  2 P 2.35, 2 As 2.48
Ir 0.5000 0.0000 0.7411  2 P 2.35, 2 As 2.48

Values from the calculation:
- total magnetization (μB per atom) = 0.001
- DFT total energy (eV/atom) = -6.293
- space-group type = I4mm (107)
- V (Å³ per atom) = 23.712